Entry 1:
DFT (GGA-PBE) results for a relaxed structure of Sr3PmRh8.

The value obtained for the energy of formation is -0.375 eV/atom.

The space group is R3m (No. 160, hexagonal axes) and the conventional cell measures 5.4570, 5.4570 and 26.8231 Å, with angles of 90.00, 90.00 and 120.00 degrees. The asymmetric unit holds Sr at (0.0000, 0.0000, 0.0000), Sr at (0.0000, 0.0000, 0.1239), Sr at (0.0000, 0.0000, 0.4972), Pm at (0.0000, 0.0000, 0.6234), Rh at (0.0000, 0.0000, 0.3109), Rh at (0.0000, 0.0000, 0.8111), Rh at (0.0019, 0.5009, 0.5627) and Rh at (0.1680, 0.3360, 0.3928).

Entry 2:
DFT (GGA-PBE) results for a relaxed structure of TaAlCu.

The value obtained for the energy of formation is -0.230 eV/atom.

The space group is Amm2 (No. 38) and the conventional cell measures 7.940, 5.063 and 8.748 Å, with angles of 90.00, 90.00 and 90.00 degrees. The asymmetric unit holds Ta at (0.182, 0.000, 0.000), Ta at (0.314, 0.000, 0.669), Al at (0.000, 0.000, 0.501), Al at (0.500, 0.000, 0.164), Al at (0.500, 0.245, 0.919), Cu at (0.000, 0.243, 0.745) and Cu at (0.250, 0.000, 0.332).

Number 1: total magnetization 0.00 μB per formula unit. Number 2: total magnetization 0.00 μB per formula unit.